# 1
First-principles (PBE) data for an optimized crystal structure of Sm2Th2Zn, as listed in the Alexandria database.

```
data_Sm2Th2Zn
_chemical_formula_sum 'Sm4 Th4 Zn2'
_cell_length_a 3.6134
_cell_length_b 3.6134
_cell_length_c 22.3327
_cell_angle_alpha 90.00
_cell_angle_beta 90.00
_cell_angle_gamma 90.00
_symmetry_space_group_name_H-M 'I 4/m m m'
_symmetry_Int_Tables_number 139
_symmetry_space_group_name_Hall '-I 4 2'
loop_
_atom_site_label
_atom_site_type_symbol
_atom_site_fract_x
_atom_site_fract_y
_atom_site_fract_z
Sm1 Sm 0.0000 0.0000 0.0833
Th1 Th 0.0000 0.0000 0.3040
Zn1 Zn 0.0000 0.0000 0.5000
```

- Total energy: -5.2302 eV per atom
- Calculated formation energy: -0.60 eV per formula unit
- Theoretical density: 9.46 g/cm3

# 2
First-principles (PBE) data for an optimized crystal structure of Rb2Nb2Co, as listed in the Alexandria database.

```
data_Rb2Nb2Co
_chemical_formula_sum 'Rb4 Nb4 Co2'
_cell_length_a 4.0281
_cell_length_b 4.0281
_cell_length_c 16.8794
_cell_angle_alpha 90.00
_cell_angle_beta 90.00
_cell_angle_gamma 90.00
_symmetry_space_group_name_H-M 'I 4/m m m'
_symmetry_Int_Tables_number 139
_symmetry_space_group_name_Hall '-I 4 2'
loop_
_atom_site_label
_atom_site_type_symbol
_atom_site_fract_x
_atom_site_fract_y
_atom_site_fract_z
Rb1 Rb 0.0000 0.5000 0.2500
Nb1 Nb 0.0000 0.0000 0.0649
Co1 Co 0.0000 0.0000 0.5000
```

- Total energy: -4.1708 eV per atom
- Calculated formation energy: 8.33 eV per formula unit
- Theoretical density: 5.04 g/cm3

# 3
First-principles (PBE) data for an optimized crystal structure of KNb2AuN, as listed in the Alexandria database.

```
data_KNb2AuN
_chemical_formula_sum 'K1 Nb2 Au1 N1'
_cell_length_a 4.1989
_cell_length_b 4.1989
_cell_length_c 5.9825
_cell_angle_alpha 90.00
_cell_angle_beta 90.00
_cell_angle_gamma 90.00
_symmetry_space_group_name_H-M 'P 4/m m m'
_symmetry_Int_Tables_number 123
_symmetry_space_group_name_Hall '-P 4 2'
loop_
_atom_site_label
_atom_site_type_symbol
_atom_site_fract_x
_atom_site_fract_y
_atom_site_fract_z
K1 K 0.0000 0.0000 0.0000
Nb1 Nb 0.0000 0.5000 0.5000
Au1 Au 0.5000 0.5000 0.0000
N1 N 0.5000 0.5000 0.5000
```

- Total energy: -6.1111 eV per atom
- Energy relative to the elements, uncorrected: 0.46 eV/atom
- Theoretical density: 6.86 g/cm3

# 4
First-principles (PBE) data for an optimized crystal structure of La3DyHo8, as listed in the Alexandria database.

```
data_La3DyHo8
_chemical_formula_sum 'La6 Dy2 Ho16'
_cell_length_a 8.8187
_cell_length_b 8.8187
_cell_length_c 11.2955
_cell_angle_alpha 90.00
_cell_angle_beta 90.00
_cell_angle_gamma 90.00
_symmetry_space_group_name_H-M 'I -4 2 m'
_symmetry_Int_Tables_number 121
_symmetry_space_group_name_Hall 'I -4 2'
loop_
_atom_site_label
_atom_site_type_symbol
_atom_site_fract_x
_atom_site_fract_y
_atom_site_fract_z
La1 La 0.0000 0.0000 0.0000
La2 La 0.0000 0.5000 0.2500
Dy1 Dy 0.0000 0.0000 0.5000
Ho1 Ho 0.1241 0.1241 0.7442
Ho2 Ho 0.2432 0.2432 0.4867
```

- Total energy: -4.0600 eV per atom
- Calculated formation energy: 7.29 eV per formula unit
- Theoretical density: 7.18 g/cm3